[1]
PBE PrDy2UP4, relaxed; space-group type = No. 119
1.0
-2.854 2.854 5.706
2.854 -2.854 5.706
2.854 2.854 -5.706
Pr Dy U P
1 2 1 4
direct
0.000 0.000 0.000
0.500 0.500 0.000
0.750 0.250 0.500
0.250 0.750 0.500
0.007 0.507 0.500
0.255 0.255 0.000
0.493 0.993 0.500
0.745 0.745 0.000

[2]
PBE PrDyY2P4, relaxed; space-group type = No. 10
1.0
7.033 0.000 0.000
0.000 4.064 0.000
-2.344 0.000 6.632
Pr Dy Y P
1 1 2 4
direct
0.000 0.000 0.000
0.000 0.500 0.500
0.500 0.000 0.500
0.500 0.500 0.000
0.253 0.000 0.746
0.257 0.500 0.258
0.743 0.500 0.742
0.747 0.000 0.254

[3]
PBE PrDy2Y3P6, relaxed; space-group type = No. 12
1.0
3.503 -6.067 0.000
3.503 6.067 0.000
-2.335 0.000 6.605
Pr Dy Y P
1 2 3 6
direct
0.000 0.000 0.000
0.333 0.667 0.000
0.667 0.333 0.000
0.166 0.834 0.500
0.500 0.500 0.500
0.834 0.166 0.500
0.085 0.424 0.253
0.255 0.255 0.747
0.424 0.085 0.253
0.576 0.915 0.747
0.745 0.745 0.253
0.915 0.576 0.747

[4]
PBE PrDy3Y2P6, relaxed; space-group type = No. 12
1.0
3.502 -6.065 0.000
3.502 6.065 0.000
-2.334 0.000 6.605
Pr Dy Y P
1 3 2 6
direct
0.000 0.000 0.000
0.166 0.834 0.500
0.500 0.500 0.500
0.834 0.166 0.500
0.333 0.667 0.000
0.667 0.333 0.000
0.085 0.424 0.255
0.255 0.255 0.746
0.424 0.085 0.255
0.576 0.915 0.745
0.745 0.745 0.254
0.915 0.576 0.745

[5]
PBE Pr2DyZrP4, relaxed; space-group type = No. 10
1.0
6.966 0.000 0.000
0.000 4.020 0.000
-2.302 0.000 6.603
Pr Dy Zr P
2 1 1 4
direct
0.000 0.000 0.000
0.500 0.500 0.000
0.000 0.500 0.500
0.500 0.000 0.500
0.252 0.000 0.731
0.265 0.500 0.273
0.735 0.500 0.727
0.748 0.000 0.269

[6]
PBE PrDy2ZrP4, relaxed; space-group type = No. 10
1.0
6.883 0.000 0.000
0.000 3.980 0.000
-2.277 0.000 6.523
Pr Dy Zr P
1 2 1 4
direct
0.000 0.000 0.000
0.500 0.000 0.500
0.500 0.500 0.000
0.000 0.500 0.500
0.243 0.000 0.735
0.252 0.500 0.265
0.748 0.500 0.735
0.757 0.000 0.265

Number 1: formation enthalpy at 0 K -1.40 eV per atom, E -0.53416 Ry per atom, size of the total moment 0.29 μB per atom. Number 2: formation enthalpy at 0 K -1.59 eV per atom, E -0.52029 Ry per atom, size of the total moment 0.00 μB per atom. Number 3: formation enthalpy at 0 K -1.60 eV per atom, E -0.52054 Ry per atom, size of the total moment 0.00 μB per atom. Number 4: formation enthalpy at 0 K -1.59 eV per atom, E -0.50896 Ry per atom, size of the total moment 0.00 μB per atom. Number 5: formation enthalpy at 0 K -1.49 eV per atom, E -0.51696 Ry per atom, size of the total moment 0.00 μB per atom. Number 6: formation enthalpy at 0 K -1.49 eV per atom, E -0.51568 Ry per atom, size of the total moment 0.00 μB per atom.